# 1
Material: NaEuCr4O12
Method: DFT, GGA+U
State: optimized geometry

a = 6.119 Å, b = 6.119 Å, c = 6.955 Å
α = 90.00°, β = 90.00°, γ = 110.42°
Fractional coordinates of all 18 atoms:
1 Cr 0.052 0.466 0.250
2 Eu 0.572 0.428 0.000
3 O 0.752 0.248 0.802
4 O 0.752 0.248 0.198
5 O 0.425 0.990 0.000
6 Cr 0.052 0.466 0.750
7 Cr 0.534 0.948 0.250
8 O 0.229 0.319 0.765
9 Cr 0.534 0.948 0.750
10 O 0.681 0.771 0.765
11 O 0.569 0.049 0.500
12 O 0.231 0.769 0.690
13 O 0.231 0.769 0.310
14 O 0.681 0.771 0.235
15 O 0.229 0.319 0.235
16 Na 0.032 0.968 0.500
17 O 0.010 0.575 0.000
18 O 0.951 0.431 0.500

Results
The calculation puts the total magnetic moment at 2.67 μB/cell. The total energy is -7.040 eV/atom.

# 2
Material: SmEuNbCrO6
Method: DFT, GGA+U
State: optimized geometry

a = 5.629 Å, b = 5.629 Å, c = 5.629 Å
α = 60.00°, β = 60.00°, γ = 60.00°
Fractional coordinates of all 10 atoms:
1 Nb 0.500 0.500 0.500
2 O 0.754 0.754 0.246
3 O 0.246 0.754 0.754
4 Eu 0.250 0.250 0.250
5 O 0.246 0.246 0.754
6 O 0.754 0.246 0.246
7 O 0.754 0.246 0.754
8 Cr 0.000 0.000 0.000
9 Sm 0.750 0.750 0.750
10 O 0.246 0.754 0.246

Results
The calculation puts the total magnetic moment at 9.15 μB/cell. The total energy is -8.803 eV/atom.

# 3
Material: SrEuNbCrO6
Method: DFT, GGA+U
State: optimized geometry

a = 5.657 Å, b = 5.657 Å, c = 5.657 Å
α = 60.00°, β = 60.00°, γ = 60.00°
Fractional coordinates of all 10 atoms:
1 O 0.751 0.751 0.249
2 Sr 0.250 0.250 0.250
3 Cr 0.000 0.000 0.000
4 O 0.249 0.751 0.249
5 Eu 0.750 0.750 0.750
6 Nb 0.500 0.500 0.500
7 O 0.751 0.249 0.751
8 O 0.249 0.751 0.751
9 O 0.249 0.249 0.751
10 O 0.751 0.249 0.249

Results
The calculation puts the total magnetic moment at 9.84 μB/cell. The total energy is -8.598 eV/atom.